Density functional theory data (PBE) for ErBiSb after structural relaxation.

POSCAR file:
```
ErBiSb
1.0
0.000 3.677 3.677
3.677 0.000 3.677
3.677 3.677 0.000
Bi Er Sb
1 1 1
direct
0.000 0.000 0.000 Bi
0.500 0.500 0.500 Er
0.750 0.750 0.750 Sb
```

Results
Space-group type = F-43m
E = -4.415 eV/atom
Total moment = 0.0 Bohr magnetons per cell
Calculated volume = 33.13 A^3/atom
Calculated density = 8.32 g cm⁻³